Here is a geometry-optimized SiTeIr2 structure from Alexandria. Energies are from PBE.

Calculated values
E above lowest polymorph: 559.7 meV per atom
SG: Cmmm

Unit cell a=6.033 b=7.051 c=3.093 alpha=90.00 beta=90.00 gamma=90.00
Fractional coordinates of all 8 atoms:
Si1 0.000 0.000 0.000
Si2 0.500 0.500 0.000
Te1 0.000 0.500 0.000
Te2 0.500 0.000 0.000
Ir1 0.250 0.250 0.500
Ir2 0.250 0.750 0.500
Ir3 0.750 0.250 0.500
Ir4 0.750 0.750 0.500